1.
## NaZrTa2 (GGA-PBE)

Data for NaZrTa2 after structural relaxation.

Lattice parameters (Å, degrees): 6.8447 6.8447 6.8447 90.00 90.00 90.00
Space group Fm-3m (No. 225)
Symmetry-distinct sites (fractional):
Na (0.0000, 0.0000, 0.0000) (multiplicity 4)
Zr (0.0000, 0.0000, 0.5000) (multiplicity 4)
Ta (0.2500, 0.2500, 0.2500) (multiplicity 8)

## Properties
The value obtained for the formation energy is 89.9 kJ per mole of atoms. The calculation puts the density of states at the Fermi level at 4.58 states/eV/f.u. As for the relative energy among the computed polymorphs: 0 meV per atom.

---

2.
## NaTb3 (GGA-PBE)

Data for NaTb3 after structural relaxation.

Lattice parameters (Å, degrees): 7.2169 7.2169 5.8100 90.00 90.00 120.00
Space group P6_3/mmc (No. 194)
Symmetry-distinct sites (fractional):
Na (0.3333, 0.6667, 0.2500) (multiplicity 2)
Tb (0.1638, 0.3275, 0.7500) (multiplicity 6)

## Properties
The value obtained for the formation energy is 28.8 kJ per mole of atoms. The calculation puts the density of states at the Fermi level at 6.19 states/eV/f.u. As for the relative energy among the computed polymorphs: 0 meV per atom.

---

Q: Which of these has the highest density of states at the Fermi level?
A: NaTb3